P:
VASP calculation (PBE with a Hubbard U) on LiFe4P3O12 after structural relaxation.

CIF file:
```
data_LiFe4P3O12
_symmetry_space_group_name_H-M 'P 1'
_symmetry_Int_Tables_number 1
_cell_length_a 5.9981
_cell_length_b 9.6536
_cell_length_c 9.6628
_cell_angle_alpha 60.07
_cell_angle_beta 89.80
_cell_angle_gamma 89.49
loop_
_symmetry_equiv_pos_as_xyz
'x,y,z'
loop_
_atom_site_label
_atom_site_fract_x
_atom_site_fract_y
_atom_site_fract_z
Li1 0.0000 0.0000 0.0000
Li2 0.4992 0.3318 0.3301
Fe1 0.0265 0.3262 0.3364
Fe2 0.2620 0.3535 0.7176
Fe3 0.2644 0.7128 0.9278
Fe4 0.2686 0.9216 0.3574
Fe5 0.5267 0.9948 0.0003
Fe6 0.7636 0.4020 0.9778
Fe7 0.7653 0.6113 0.4091
Fe8 0.7656 0.9722 0.6171
P1 0.2632 0.0370 0.6863
P2 0.2639 0.6797 0.2757
P3 0.2659 0.2705 0.0422
P4 0.7636 0.2878 0.6515
P5 0.7643 0.6440 0.0605
P6 0.7656 0.0561 0.2927
O1 0.0604 0.7287 0.3443
O2 0.0613 0.3380 0.9264
O3 0.0636 0.9180 0.7335
O4 0.2601 0.1710 0.5126
O5 0.2622 0.5070 0.3128
O6 0.2635 0.3094 0.1765
O7 0.2666 0.1054 0.8037
O8 0.2744 0.7983 0.0902
O9 0.2795 0.0846 0.1094
O10 0.4642 0.7228 0.3515
O11 0.4649 0.3456 0.9222
O12 0.4678 0.9200 0.7317
O13 0.5577 0.4035 0.6017
O14 0.5622 0.5957 0.9917
O15 0.5661 0.9829 0.4125
O16 0.7584 0.8175 0.0220
O17 0.7630 0.1540 0.8248
O18 0.7644 0.0183 0.1576
O19 0.7668 0.2419 0.2260
O20 0.7754 0.5259 0.2460
O21 0.7786 0.2193 0.5342
O22 0.9608 0.4088 0.6077
O23 0.9663 0.6003 0.9859
O24 0.9704 0.9856 0.4090
```

---

Q:
VASP calculation (PBE with a Hubbard U) on LiFe4P3O12 after structural relaxation.

CIF file:
```
data_LiFe4P3O12
_symmetry_space_group_name_H-M 'C 1 c 1'
_symmetry_Int_Tables_number 9
_cell_length_a 11.8685
_cell_length_b 13.0015
_cell_length_c 6.5752
_cell_angle_alpha 90.00
_cell_angle_beta 117.23
_cell_angle_gamma 90.00
loop_
_symmetry_equiv_pos_as_xyz
'x,y,z'
'x,-y,z+1/2'
'x+1/2,y+1/2,z'
'x+1/2,-y+1/2,z+1/2'
loop_
_atom_site_label
_atom_site_fract_x
_atom_site_fract_y
_atom_site_fract_z
Li1 0.0000 0.0171 0.0000
Fe1 0.0116 0.4926 0.7677
Fe2 0.0373 0.2703 0.9873
Fe3 0.2404 0.1541 0.8390
Fe4 0.3161 0.3428 0.5999
P1 0.0300 0.3060 0.4773
P2 0.2551 0.1064 0.3404
P3 0.3071 0.3897 0.1034
O1 0.0720 0.2402 0.6921
O2 0.1283 0.3820 0.4595
O3 0.1632 0.4020 0.0470
O4 0.1804 0.0043 0.2917
O5 0.1972 0.1692 0.1130
O6 0.2443 0.1710 0.5274
O7 0.3152 0.3221 0.9197
O8 0.3732 0.4959 0.1274
O9 0.3837 0.3384 0.3455
O10 0.4023 0.0890 0.4186
O11 0.4341 0.1121 0.9870
O12 0.4825 0.2600 0.7593
```

---

The structure with the greatest stability is Q.

---

P:
VASP calculation (PBE with a Hubbard U) on Li2FeP2O7 after structural relaxation.

CIF file:
```
data_Li2FeP2O7
_symmetry_space_group_name_H-M 'P -1'
_symmetry_Int_Tables_number 2
_cell_length_a 5.6442
_cell_length_b 6.1894
_cell_length_c 9.4431
_cell_angle_alpha 72.22
_cell_angle_beta 85.25
_cell_angle_gamma 77.26
loop_
_symmetry_equiv_pos_as_xyz
'x,y,z'
'-x,-y,-z'
loop_
_atom_site_label
_atom_site_fract_x
_atom_site_fract_y
_atom_site_fract_z
Li1 0.0977 0.3289 0.2692
Li2 0.2439 0.7591 0.8522
Fe1 0.3444 0.8291 0.1551
P1 0.1731 0.2458 0.9339
P2 0.3603 0.8705 0.5064
O1 0.0654 0.6510 0.1544
O2 0.1187 0.1796 0.1058
O3 0.1867 0.8225 0.6344
O4 0.3151 0.0159 0.9036
O5 0.3507 0.4160 0.8878
O6 0.3579 0.7648 0.3846
O7 0.3605 0.1546 0.4352
```

---

Q:
VASP calculation (PBE with a Hubbard U) on Li2FeP2O7 after structural relaxation.

CIF file:
```
data_Li2FeP2O7
_symmetry_space_group_name_H-M 'R 3 2'
_symmetry_Int_Tables_number 155
_symmetry_space_group_name_Hall 'R 3 2"'
_cell_length_a 5.0670
_cell_length_b 5.0670
_cell_length_c 20.4561
_cell_angle_alpha 90.00
_cell_angle_beta 90.00
_cell_angle_gamma 120.00
loop_
_atom_site_label
_atom_site_fract_x
_atom_site_fract_y
_atom_site_fract_z
Li1 0.0000 0.0000 0.2421
Fe1 0.0000 0.0000 0.5000
P1 0.0000 0.0000 0.0781
O1 0.0000 0.0000 0.0000
O2 0.0276 0.3035 0.0991
```

---

The structure with the greatest stability is P.